No. 1
Ge3IrN | GGA-PBE | relaxed

```
5
Lattice="-0.096 2.028 -3.673 -4.021 -1.093 -0.498 -1.197 3.508 1.968" Properties=species:S:1:pos:R:3 pbc="T T T"
Ge -2.011 -0.546 -0.249
Ge -0.599 1.754 0.984
Ge -0.048 1.014 -1.836
Ir -2.657 2.222 -1.101
N 0.000 0.000 0.000
```

Values from the calculation:
energy relative to the elements, uncorrected	669	meV/atom
offset from the most stable computed form	0.00	eV per formula unit
SG	Pm-3m, No. 221



No. 2
Pm4CN | GGA-PBE | relaxed

```
6
Lattice="3.654 0.000 0.000 -1.827 6.398 -0.902 0.000 -0.136 6.315" Properties=species:S:1:pos:R:3 pbc="T T T"
Pm 0.000 1.261 5.311
Pm 1.827 5.002 0.102
Pm 1.827 1.356 2.117
Pm 0.000 4.907 3.296
C 0.000 -0.068 3.158
N 1.827 0.000 0.000
```

Values from the calculation:
energy relative to the elements, uncorrected	-542	meV/atom
offset from the most stable computed form	0.00	eV per formula unit
SG	C2/m, No. 12



Question: Look up the energy relative to the elements, uncorrected of the first one.
Answer: 669 meV/atom